Below is a relaxed RuS2Cl crystal, with properties calculated at the PBE level.

Lattice parameters (Å, degrees): 12.2000 12.2000 12.2000 12.98 12.98 12.98
With the nearest neighbours (Å) after each atom.
Element x y z (fractional)
Ru: 0.0000 0.0000 0.0000  2 S 2.25
Cl: 0.5000 0.5000 0.5000  6 Cl 2.76
S: 0.9381 0.9381 0.9381  1 Ru 2.25
S: 0.0619 0.0619 0.0619  1 Ru 2.25

Output
- Offset from the most stable computed form: 654 meV per atom
- Raw total energy: -4.3797 eV/atom
- Formation energy from raw total energies: 1.9 eV per formula unit
- Size of the total moment: 0.0 μB/f.u.
- Fermi-level density of states: 3.7 states/eV/cell
- Calculated volume: 19.932 Å³/atom